(1)
This record from the Alexandria database describes an optimized crystal structure of LiSeBr2. The functional is PBE-GGA.

Output
Final energy = -2.673 eV/atom
Energy relative to the lowest polymorph listed for this composition = 88 meV/atom
ΔE_f (raw) = -487 meV/atom

a b c (Å): 4.2748 6.6146 4.5307
angles (deg): 90.00 109.75 90.00
Space group Pm (No. 6)
Inequivalent atoms, fractional coordinates:
1 Li 0.0000 0.0000 0.0000
2 Se 0.0001 0.5000 0.9593
3 Br 0.3552 0.0000 0.6491
4 Br 0.7225 0.5000 0.4193

(2)
This record from the Alexandria database describes an optimized crystal structure of LiSe2Br6. The functional is PBE-GGA.

Output
Final energy = -2.491 eV/atom
ΔE_f (raw) = -388 meV/atom

a b c (Å): 3.7727 8.8818 10.0324
angles (deg): 72.52 89.44 89.35
Space group P-1 (No. 2)
Inequivalent atoms, fractional coordinates:
1 Li 0.0000 0.0000 0.0000
2 Se 0.4942 0.3162 0.1764
3 Br 0.4870 0.2563 0.4220
4 Br 0.4942 0.6143 0.1289
5 Br 0.4959 0.0144 0.1808

(3)
This record from the Alexandria database describes an optimized crystal structure of LiSe2Br. The functional is PBE-GGA.

Output
Final energy = -3.178 eV/atom
Energy relative to the lowest polymorph listed for this composition = 99 meV/atom
ΔE_f (raw) = -539 meV/atom

a b c (Å): 3.7587 4.8937 13.1868
angles (deg): 90.00 90.00 90.00
Space group Imm2 (No. 44)
Inequivalent atoms, fractional coordinates:
1 Li 0.0000 0.0000 0.0000
2 Se 0.0000 0.0000 0.3004
3 Se 0.0000 0.5000 0.9254
4 Br 0.0000 0.5000 0.6206

(4)
This record from the Alexandria database describes an optimized crystal structure of Li2SeBr. The functional is PBE-GGA.

Output
Final energy = -3.300 eV/atom
Energy relative to the lowest polymorph listed for this composition = 0 meV/atom
ΔE_f (raw) = -1054 meV/atom

a b c (Å): 6.0082 3.7123 7.3191
angles (deg): 90.00 106.74 90.00
Space group C2/m (No. 12)
Inequivalent atoms, fractional coordinates:
1 Li 0.2439 0.0000 0.2346
2 Se 0.0000 0.0000 0.5000
3 Br 0.0000 0.5000 0.0000

(5)
This record from the Alexandria database describes an optimized crystal structure of Li4SeBr. The functional is PBE-GGA.

Output
Final energy = -2.539 eV/atom
ΔE_f (raw) = -403 meV/atom

a b c (Å): 7.6654 7.6654 7.6654
angles (deg): 90.00 90.00 90.00
Space group F-43m (No. 216)
Inequivalent atoms, fractional coordinates:
1 Li 0.1254 0.1254 0.1254
2 Se 0.2500 0.2500 0.7500
3 Br 0.0000 0.0000 0.5000

(6)
This record from the Alexandria database describes an optimized crystal structure of Li12Se3Br5. The functional is PBE-GGA.

Output
Final energy = -3.304 eV/atom
ΔE_f (raw) = -1215 meV/atom

a b c (Å): 15.1890 15.1890 15.1890
angles (deg): 90.00 90.00 90.00
Space group Ia-3d (No. 230)
Inequivalent atoms, fractional coordinates:
1 Li 0.0070 0.0714 0.6574
2 Se 0.0000 0.2500 0.1250
3 Br 0.0000 0.0000 0.0000
4 Br 0.0000 0.2500 0.3750

(7)
This record from the Alexandria database describes an optimized crystal structure of LiSeBr2. The functional is PBE-GGA.

Output
Final energy = -2.185 eV/atom
Energy relative to the lowest polymorph listed for this composition = 576 meV/atom
ΔE_f (raw) = 1 meV/atom

a b c (Å): 3.6764 3.6764 28.1090
angles (deg): 90.00 90.00 120.00
Space group R-3m (No. 166, hexagonal axes)
Inequivalent atoms, fractional coordinates:
1 Li 0.0000 0.0000 0.0000
2 Se 0.0000 0.0000 0.5000
3 Br 0.0000 0.0000 0.0829

(8)
This record from the Alexandria database describes an optimized crystal structure of LiSeBr2. The functional is PBE-GGA.

Output
Final energy = -2.702 eV/atom
Energy relative to the lowest polymorph listed for this composition = 59 meV/atom
ΔE_f (raw) = -516 meV/atom

a b c (Å): 3.8271 3.8408 8.6472
angles (deg): 90.00 90.00 90.00
Space group Pmmm (No. 47)
Inequivalent atoms, fractional coordinates:
1 Li 0.0000 0.0000 0.0000
2 Se 0.5000 0.0000 0.5000
3 Br 0.0000 0.5000 0.5000
4 Br 0.5000 0.5000 0.0000

(9)
This record from the Alexandria database describes an optimized crystal structure of LiSe2Br. The functional is PBE-GGA.

Output
Final energy = -2.979 eV/atom
Energy relative to the lowest polymorph listed for this composition = 298 meV/atom
ΔE_f (raw) = -341 meV/atom

a b c (Å): 4.7493 14.6161 5.2365
angles (deg): 90.00 90.00 90.00
Space group Cmmm (No. 65)
Inequivalent atoms, fractional coordinates:
1 Li 0.0000 0.0000 0.0000
2 Se 0.2500 0.2500 0.5000
3 Br 0.0000 0.5000 0.0000

(10)
This record from the Alexandria database describes an optimized crystal structure of Li2SeBr. The functional is PBE-GGA.

Output
Final energy = -3.107 eV/atom
Energy relative to the lowest polymorph listed for this composition = 193 meV/atom
ΔE_f (raw) = -860 meV/atom

a b c (Å): 5.1360 5.1360 5.9839
angles (deg): 90.00 90.00 90.00
Space group I4/mmm (No. 139)
Inequivalent atoms, fractional coordinates:
1 Li 0.0000 0.5000 0.2500
2 Se 0.0000 0.0000 0.0000
3 Br 0.0000 0.0000 0.5000

(11)
This record from the Alexandria database describes an optimized crystal structure of LiSeBr2. The functional is PBE-GGA.

Output
Final energy = -2.730 eV/atom
Energy relative to the lowest polymorph listed for this composition = 31 meV/atom
ΔE_f (raw) = -544 meV/atom

a b c (Å): 7.6441 7.6892 5.3882
angles (deg): 90.00 134.45 90.00
Space group C2/m (No. 12)
Inequivalent atoms, fractional coordinates:
1 Li 0.0000 0.0000 0.0000
2 Se 0.0000 0.5000 0.0000
3 Br 0.2500 0.2500 0.5000

(12)
This record from the Alexandria database describes an optimized crystal structure of LiSe2Br. The functional is PBE-GGA.

Output
Final energy = -3.241 eV/atom
Energy relative to the lowest polymorph listed for this composition = 36 meV/atom
ΔE_f (raw) = -603 meV/atom

a b c (Å): 7.7926 4.0235 8.6865
angles (deg): 90.00 102.42 90.00
Space group Cm (No. 8)
Inequivalent atoms, fractional coordinates:
1 Li 0.0000 0.0000 0.0000
2 Se 0.2085 0.5000 0.4501
3 Se 0.4743 0.0000 0.5638
4 Br 0.3183 0.0000 0.0001

(13)
This record from the Alexandria database describes an optimized crystal structure of LiSeBr2. The functional is PBE-GGA.

Output
Final energy = -2.485 eV/atom
Energy relative to the lowest polymorph listed for this composition = 276 meV/atom
ΔE_f (raw) = -299 meV/atom

a b c (Å): 4.1937 4.2008 12.3347
angles (deg): 90.00 90.00 90.00
Space group Cmm2 (No. 35)
Inequivalent atoms, fractional coordinates:
1 Li 0.0000 0.0000 0.0000
2 Se 0.0000 0.5000 0.1610
3 Br 0.0000 0.0000 0.5125
4 Br 0.0000 0.5000 0.8530

(14)
This record from the Alexandria database describes an optimized crystal structure of LiSe2Br. The functional is PBE-GGA.

Output
Final energy = -2.595 eV/atom
Energy relative to the lowest polymorph listed for this composition = 682 meV/atom
ΔE_f (raw) = 44 meV/atom

a b c (Å): 5.2569 5.2569 3.0707
angles (deg): 90.00 90.00 90.00
Space group P4/mmm (No. 123)
Inequivalent atoms, fractional coordinates:
1 Li 0.0000 0.0000 0.0000
2 Se 0.0000 0.5000 0.5000
3 Br 0.5000 0.5000 0.0000

(15)
This record from the Alexandria database describes an optimized crystal structure of LiSeBr4. The functional is PBE-GGA.

Output
Final energy = -1.636 eV/atom
Energy relative to the lowest polymorph listed for this composition = 932 meV/atom
ΔE_f (raw) = 379 meV/atom

a b c (Å): 8.9875 8.9875 8.9875
angles (deg): 90.00 90.00 90.00
Space group F-43m (No. 216)
Inequivalent atoms, fractional coordinates:
1 Li 0.0000 0.0000 0.0000
2 Se 0.2500 0.2500 0.7500
3 Br 0.1251 0.1251 0.3749

(16)
This record from the Alexandria database describes an optimized crystal structure of LiSeBr2. The functional is PBE-GGA.

Output
Final energy = -2.494 eV/atom
Energy relative to the lowest polymorph listed for this composition = 267 meV/atom
ΔE_f (raw) = -308 meV/atom

a b c (Å): 4.2943 7.0991 7.9965
angles (deg): 90.00 90.00 90.00
Space group Immm (No. 71)
Inequivalent atoms, fractional coordinates:
1 Li 0.0000 0.0000 0.0000
2 Se 0.0000 0.5000 0.0000
3 Br 0.0000 0.2486 0.5000

(17)
This record from the Alexandria database describes an optimized crystal structure of LiSeBr2. The functional is PBE-GGA.

Output
Final energy = -2.464 eV/atom
Energy relative to the lowest polymorph listed for this composition = 297 meV/atom
ΔE_f (raw) = -278 meV/atom

a b c (Å): 4.1228 4.1228 21.8544
angles (deg): 90.00 90.00 120.00
Space group R-3m (No. 166, hexagonal axes)
Inequivalent atoms, fractional coordinates:
1 Li 0.0000 0.0000 0.0000
2 Se 0.0000 0.0000 0.5000
3 Br 0.0000 0.0000 0.2656

(18)
This record from the Alexandria database describes an optimized crystal structure of LiSeBr2. The functional is PBE-GGA.

Output
Final energy = -2.761 eV/atom
Energy relative to the lowest polymorph listed for this composition = 0 meV/atom
ΔE_f (raw) = -575 meV/atom

a b c (Å): 12.9032 3.4246 5.5296
angles (deg): 90.00 96.13 90.00
Space group C2/m (No. 12)
Inequivalent atoms, fractional coordinates:
1 Li 0.0000 0.0000 0.0000
2 Se 0.0000 0.5000 0.5000
3 Br 0.1372 0.5000 0.1986

(19)
This record from the Alexandria database describes an optimized crystal structure of LiSeBr2. The functional is PBE-GGA.

Output
Final energy = -2.358 eV/atom
Energy relative to the lowest polymorph listed for this composition = 402 meV/atom
ΔE_f (raw) = -172 meV/atom

a b c (Å): 3.3897 3.3897 7.7732
angles (deg): 90.00 90.00 90.00
Space group P4/mmm (No. 123)
Inequivalent atoms, fractional coordinates:
1 Li 0.0000 0.0000 0.0000
2 Se 0.0000 0.0000 0.5000
3 Br 0.5000 0.5000 0.2006

(20)
This record from the Alexandria database describes an optimized crystal structure of Li2SeBr. The functional is PBE-GGA.

Output
Final energy = -3.260 eV/atom
Energy relative to the lowest polymorph listed for this composition = 40 meV/atom
ΔE_f (raw) = -1014 meV/atom

a b c (Å): 3.1102 4.4450 5.5963
angles (deg): 90.00 90.00 90.00
Space group Pmmm (No. 47)
Inequivalent atoms, fractional coordinates:
1 Li 0.0000 0.0000 0.0000
2 Li 0.5000 0.5000 0.5000
3 Se 0.0000 0.0000 0.5000
4 Br 0.5000 0.5000 0.0000